# Tl2ZnAsS4

Tl2ZnAsS4 after structural relaxation (PBE-GGA, Alexandria via LeMat-Bulk).

Cell: 5.955 7.220 11.760 Å, 84.01 75.33 65.65°
Atoms (fractional coordinates):
Tl  0.185  0.000  0.631
Tl  0.815  0.000  0.369
Tl  0.565  0.500  0.869
Tl  0.935  0.500  0.131
Zn  0.750  0.500  0.500
Zn  0.000  0.000  0.000
As  0.250  0.500  0.500
As  0.500  0.000  0.000
S  0.307  0.793  0.104
S  0.205  0.207  0.896
S  0.899  0.793  0.896
S  0.589  0.207  0.104
S  0.443  0.707  0.396
S  0.545  0.293  0.604
S  0.851  0.707  0.604
S  0.161  0.293  0.396

Summary:
ΔE_f (raw), meV per atom: -256.8
VASP energy, eV per formula unit: -29.2
Symmetry: Fddd, No. 70
Magnetic moment, μB/atom: 0.0000